# CaAlOs

A relaxed CaAlOs crystal (PBEsol, the Alexandria database).

Cell: 6.2669 6.2669 6.2669 Å, 90.00 90.00 90.00°
Space group F-43m (No. 216)
Asymmetric unit:
Ca (0.0000, 0.0000, 0.0000) [4 per cell]
Al (0.0000, 0.0000, 0.5000) [4 per cell]
Os (0.2500, 0.2500, 0.7500) [4 per cell]

As for the volume: 246 Å³/cell. For the final energy, the calculation gives -68.5 eV/cell. The value obtained for the mass density is 6.9 g/cm3.

# CaAlOs4

A relaxed CaAlOs4 crystal (PBEsol, the Alexandria database).

Cell: 7.3411 7.3411 7.3411 Å, 90.00 90.00 90.00°
Space group F-43m (No. 216)
Asymmetric unit:
Ca (0.0000, 0.0000, 0.0000) [4 per cell]
Al (0.2500, 0.2500, 0.7500) [4 per cell]
Os (0.1246, 0.1246, 0.3754) [16 per cell]

As for the volume: 396 Å³/cell. For the final energy, the calculation gives -212.5 eV/cell. The value obtained for the mass density is 13.9 g/cm3.

# Ca2AlP

A relaxed Ca2AlP crystal (PBEsol, the Alexandria database).

Cell: 3.8835 4.4564 10.8577 Å, 90.00 90.00 90.00°
Space group Amm2 (No. 38)
Asymmetric unit:
Ca (0.0000, 0.0000, 0.0000) [2 per cell]
Ca (0.5000, 0.0000, 0.2862) [2 per cell]
Al (0.5000, 0.0000, 0.5780) [2 per cell]
P (0.0000, 0.0000, 0.7203) [2 per cell]

As for the volume: 188 Å³/cell. For the final energy, the calculation gives -33.8 eV/cell. The value obtained for the mass density is 2.4 g/cm3. The calculation puts the excess energy over the best structure of this formula in the dataset at 0.000 eV/atom.

# Ca2AlP

A relaxed Ca2AlP crystal (PBEsol, the Alexandria database).

Cell: 3.8224 3.8224 25.6988 Å, 90.00 90.00 120.00°
Space group R3m (No. 160, hexagonal axes)
Asymmetric unit:
Ca (0.0000, 0.0000, 0.0000) [3 per cell]
Ca (0.0000, 0.0000, 0.2057) [3 per cell]
Al (0.0000, 0.0000, 0.7601) [3 per cell]
P (0.0000, 0.0000, 0.4676) [3 per cell]

As for the volume: 325 Å³/cell. For the final energy, the calculation gives -48.0 eV/cell. The value obtained for the mass density is 2.1 g/cm3. The calculation puts the excess energy over the best structure of this formula in the dataset at 0.224 eV/atom.

# CaAlP2

A relaxed CaAlP2 crystal (PBEsol, the Alexandria database).

Cell: 4.2992 4.2992 7.7018 Å, 90.00 90.00 90.00°
Space group I4/mmm (No. 139)
Asymmetric unit:
Ca (0.0000, 0.0000, 0.0000) [2 per cell]
Al (0.0000, 0.0000, 0.5000) [2 per cell]
P (0.0000, 0.5000, 0.2500) [4 per cell]

As for the volume: 142 Å³/cell. For the final energy, the calculation gives -37.6 eV/cell. The value obtained for the mass density is 3.0 g/cm3.

# Ca2AlP

A relaxed Ca2AlP crystal (PBEsol, the Alexandria database).

Cell: 7.1956 4.0719 7.9787 Å, 90.00 106.23 90.00°
Space group C2/m (No. 12)
Asymmetric unit:
Ca (0.2281, 0.0000, 0.1895) [4 per cell]
Al (0.0000, 0.0000, 0.5000) [2 per cell]
P (0.0000, 0.5000, 0.0000) [2 per cell]

As for the volume: 224 Å³/cell. For the final energy, the calculation gives -31.4 eV/cell. The value obtained for the mass density is 2.0 g/cm3. The calculation puts the excess energy over the best structure of this formula in the dataset at 0.303 eV/atom.

# CaAlP2

A relaxed CaAlP2 crystal (PBEsol, the Alexandria database).

Cell: 6.6638 6.6638 6.6638 Å, 90.00 90.00 90.00°
Space group F-43m (No. 216)
Asymmetric unit:
Ca (0.0000, 0.0000, 0.0000) [4 per cell]
Al (0.2500, 0.2500, 0.7500) [4 per cell]
P (0.0000, 0.0000, 0.5000) [4 per cell]
P (0.2500, 0.2500, 0.2500) [4 per cell]

As for the volume: 296 Å³/cell. For the final energy, the calculation gives -69.6 eV/cell. The value obtained for the mass density is 2.9 g/cm3.

# Ca5Al2P6

A relaxed Ca5Al2P6 crystal (PBEsol, the Alexandria database).

Cell: 10.9935 12.6417 3.9977 Å, 90.00 90.00 90.00°
Space group Pbam (No. 55)
Asymmetric unit:
Ca (0.0000, 0.0000, 0.0000) [2 per cell]
Ca (0.0888, 0.2538, 0.0000) [4 per cell]
Ca (0.1774, 0.5120, 0.0000) [4 per cell]
Al (0.1703, 0.7130, 0.5000) [4 per cell]
P (0.0150, 0.4116, 0.5000) [4 per cell]
P (0.1581, 0.1004, 0.5000) [4 per cell]
P (0.1598, 0.8162, 0.0000) [4 per cell]

As for the volume: 556 Å³/cell. For the final energy, the calculation gives -134.1 eV/cell. The value obtained for the mass density is 2.6 g/cm3.

# CaAlP2

A relaxed CaAlP2 crystal (PBEsol, the Alexandria database).

Cell: 3.4486 3.4486 7.2565 Å, 90.00 90.00 90.00°
Space group P4mm (No. 99)
Asymmetric unit:
Ca (0.0000, 0.0000, 0.0000) [1 per cell]
Al (0.5000, 0.5000, 0.5146) [1 per cell]
P (0.0000, 0.0000, 0.6101) [1 per cell]
P (0.5000, 0.5000, 0.1903) [1 per cell]

As for the volume: 86 Å³/cell. For the final energy, the calculation gives -19.3 eV/cell. The value obtained for the mass density is 2.5 g/cm3.

# CaAlP2

A relaxed CaAlP2 crystal (PBEsol, the Alexandria database).

Cell: 4.3757 4.3757 3.6535 Å, 90.00 90.00 90.00°
Space group P4/mmm (No. 123)
Asymmetric unit:
Ca (0.0000, 0.0000, 0.0000) [1 per cell]
Al (0.5000, 0.5000, 0.0000) [1 per cell]
P (0.0000, 0.5000, 0.5000) [2 per cell]

As for the volume: 70 Å³/cell. For the final energy, the calculation gives -19.2 eV/cell. The value obtained for the mass density is 3.1 g/cm3.

# CaAlPPt2

A relaxed CaAlPPt2 crystal (PBEsol, the Alexandria database).

Cell: 4.5984 4.5984 4.6225 Å, 90.00 90.00 90.00°
Space group P4/mmm (No. 123)
Asymmetric unit:
Ca (0.0000, 0.0000, 0.0000) [1 per cell]
Al (0.5000, 0.5000, 0.0000) [1 per cell]
P (0.5000, 0.5000, 0.5000) [1 per cell]
Pt (0.0000, 0.5000, 0.5000) [2 per cell]

As for the volume: 98 Å³/cell. For the final energy, the calculation gives -27.2 eV/cell. The value obtained for the mass density is 8.3 g/cm3.

# CaAl2PPt

A relaxed CaAl2PPt crystal (PBEsol, the Alexandria database).

Cell: 5.3115 5.3115 4.8109 Å, 90.00 90.00 90.00°
Space group P4/mmm (No. 123)
Asymmetric unit:
Ca (0.0000, 0.0000, 0.0000) [1 per cell]
Al (0.0000, 0.5000, 0.0000) [2 per cell]
P (0.5000, 0.5000, 0.5000) [1 per cell]
Pt (0.0000, 0.0000, 0.5000) [1 per cell]

As for the volume: 136 Å³/cell. For the final energy, the calculation gives -15.5 eV/cell. The value obtained for the mass density is 3.9 g/cm3.

# CaAlP2Ru

A relaxed CaAlP2Ru crystal (PBEsol, the Alexandria database).

Cell: 4.9160 4.9160 5.1326 Å, 90.00 90.00 90.00°
Space group P4/mmm (No. 123)
Asymmetric unit:
Ca (0.0000, 0.0000, 0.0000) [1 per cell]
Al (0.0000, 0.0000, 0.5000) [1 per cell]
P (0.0000, 0.5000, 0.0000) [2 per cell]
Ru (0.5000, 0.5000, 0.5000) [1 per cell]

As for the volume: 124 Å³/cell. For the final energy, the calculation gives -18.8 eV/cell. The value obtained for the mass density is 3.1 g/cm3.

# CaZrAlP2

A relaxed CaZrAlP2 crystal (PBEsol, the Alexandria database).

Cell: 4.9527 4.9527 5.6506 Å, 90.00 90.00 90.00°
Space group P4/mmm (No. 123)
Asymmetric unit:
Ca (0.0000, 0.0000, 0.0000) [1 per cell]
Zr (0.0000, 0.0000, 0.5000) [1 per cell]
Al (0.5000, 0.5000, 0.0000) [1 per cell]
P (0.0000, 0.5000, 0.5000) [2 per cell]

As for the volume: 139 Å³/cell. For the final energy, the calculation gives -24.5 eV/cell. The value obtained for the mass density is 2.6 g/cm3.

# CaAl3Pb

A relaxed CaAl3Pb crystal (PBEsol, the Alexandria database).

Cell: 5.3477 5.3477 5.3477 Å, 90.00 90.00 90.00°
Space group Pm-3m (No. 221)
Asymmetric unit:
Ca (0.0000, 0.0000, 0.0000) [1 per cell]
Al (0.0000, 0.5000, 0.5000) [3 per cell]
Pb (0.5000, 0.5000, 0.5000) [1 per cell]

As for the volume: 153 Å³/cell. For the final energy, the calculation gives -14.9 eV/cell. The value obtained for the mass density is 3.6 g/cm3.

# CaAl2Pb

A relaxed CaAl2Pb crystal (PBEsol, the Alexandria database).

Cell: 3.6631 3.6631 7.0182 Å, 90.00 90.00 90.00°
Space group P4mm (No. 99)
Asymmetric unit:
Ca (0.0000, 0.0000, 0.0000) [1 per cell]
Al (0.0000, 0.0000, 0.5494) [1 per cell]
Al (0.5000, 0.5000, 0.7196) [1 per cell]
Pb (0.5000, 0.5000, 0.3077) [1 per cell]

As for the volume: 94 Å³/cell. For the final energy, the calculation gives -14.7 eV/cell. The value obtained for the mass density is 5.3 g/cm3.

# Ca2AlPb

A relaxed Ca2AlPb crystal (PBEsol, the Alexandria database).

Cell: 3.7116 3.7116 8.6314 Å, 90.00 90.00 90.00°
Space group P4mm (No. 99)
Asymmetric unit:
Ca (0.0000, 0.0000, 0.0000) [1 per cell]
Ca (0.5000, 0.5000, 0.3480) [1 per cell]
Al (0.5000, 0.5000, 0.7689) [1 per cell]
Pb (0.0000, 0.0000, 0.5986) [1 per cell]

As for the volume: 119 Å³/cell. For the final energy, the calculation gives -12.9 eV/cell. The value obtained for the mass density is 4.4 g/cm3.

# CaAlPb

A relaxed CaAlPb crystal (PBEsol, the Alexandria database).

Cell: 7.0560 7.0560 7.0560 Å, 90.00 90.00 90.00°
Space group F-43m (No. 216)
Asymmetric unit:
Ca (0.0000, 0.0000, 0.0000) [4 per cell]
Al (0.2500, 0.2500, 0.2500) [4 per cell]
Pb (0.2500, 0.2500, 0.7500) [4 per cell]

As for the volume: 351 Å³/cell. For the final energy, the calculation gives -38.8 eV/cell. The value obtained for the mass density is 5.2 g/cm3.

# CaAl2Pb2

A relaxed CaAl2Pb2 crystal (PBEsol, the Alexandria database).

Cell: 4.1406 4.1406 15.1175 Å, 90.00 90.00 90.00°
Space group I4/mmm (No. 139)
Asymmetric unit:
Ca (0.0000, 0.0000, 0.0000) [2 per cell]
Al (0.0000, 0.5000, 0.2500) [4 per cell]
Pb (0.0000, 0.0000, 0.3858) [4 per cell]

As for the volume: 259 Å³/cell. For the final energy, the calculation gives -37.0 eV/cell. The value obtained for the mass density is 6.5 g/cm3.

# CaAl2Pb

A relaxed CaAl2Pb crystal (PBEsol, the Alexandria database).

Cell: 3.2289 5.0901 5.7439 Å, 90.00 90.00 90.00°
Space group Pmmm (No. 47)
Asymmetric unit:
Ca (0.0000, 0.0000, 0.0000) [1 per cell]
Al (0.5000, 0.5000, 0.2355) [2 per cell]
Pb (0.5000, 0.0000, 0.5000) [1 per cell]

As for the volume: 94 Å³/cell. For the final energy, the calculation gives -14.5 eV/cell. The value obtained for the mass density is 5.3 g/cm3.